Computed, not measured: crystalline TaPd2Au at its relaxed geometry at the PBE level of DFT.

Geometry as POSCAR:
```
TaPd2Au
1.0
0.0000 3.2053 3.2053
3.2053 0.0000 3.2053
3.2053 3.2053 0.0000
Ta Pd Au
1 2 1
Direct
0.0000 0.0000 0.0000
0.2500 0.2500 0.2500
0.7500 0.7500 0.7500
0.5000 0.5000 0.5000
```

- relative energy among the computed polymorphs (meV/atom) = 101
- crystal system = cubic
- total energy (eV/cell) = -26.29
- M_tot (μB per cell) = 0.00
- energy of formation (eV per atom) = -0.19

=====

Computed, not measured: crystalline Pm3Zn2Ni at its relaxed geometry at the PBE level of DFT.

Geometry as POSCAR:
```
Pm3Zn2Ni
1.0
12.3570 0.0000 0.0000
0.0000 4.6128 0.0000
0.0000 0.0000 10.1156
Pm Zn Ni
12 8 4
Direct
0.0587 0.2500 0.1070
0.1061 0.7500 0.5654
0.2420 0.2500 0.7832
0.2580 0.7500 0.2832
0.3939 0.2500 0.0654
0.4413 0.7500 0.6070
0.5587 0.2500 0.3930
0.6061 0.7500 0.9346
0.7420 0.2500 0.7168
0.7580 0.7500 0.2168
0.8939 0.2500 0.4346
0.9413 0.7500 0.8930
0.0112 0.7500 0.2901
0.2025 0.7500 0.9831
0.2975 0.2500 0.4831
0.4888 0.2500 0.7901
0.5112 0.7500 0.2099
0.7025 0.7500 0.5169
0.7975 0.2500 0.0169
0.9888 0.2500 0.7099
0.1166 0.2500 0.3683
0.3834 0.7500 0.8683
0.6166 0.2500 0.1317
0.8834 0.7500 0.6317
```

- relative energy among the computed polymorphs (meV/atom) = 0
- crystal system = orthorhombic
- total energy (eV/cell) = -97.61
- M_tot (μB per cell) = 0.00
- energy of formation (eV per atom) = -0.30

=====

Computed, not measured: crystalline EuErCu at its relaxed geometry at the PBE level of DFT.

Geometry as POSCAR:
```
EuErCu
1.0
-1.7817 1.7817 6.3347
1.7817 -1.7817 6.3347
1.7817 1.7817 -6.3347
Eu Er Cu
1 1 1
Direct
0.0000 0.0000 0.0000
0.2703 0.2703 0.0000
0.6580 0.6580 0.0000
```

- crystal system = tetragonal
- total energy (eV/cell) = -19.22
- M_tot (μB per cell) = 7.20
- energy of formation (eV per atom) = -0.09

=====

Computed, not measured: crystalline HgBiAu at its relaxed geometry at the PBE level of DFT.

Geometry as POSCAR:
```
HgBiAu
1.0
4.8924 0.0000 0.0000
0.0000 4.6697 0.0000
-0.7041 0.0000 7.1440
Hg Bi Au
2 2 2
Direct
0.1972 0.0000 0.3444
0.8028 0.0000 0.6556
0.2225 0.5000 0.8355
0.7775 0.5000 0.1645
0.5000 0.0000 0.0000
0.5000 0.5000 0.5000
```

- crystal system = monoclinic
- total energy (eV/cell) = -14.84
- M_tot (μB per cell) = 0.00
- energy of formation (eV per atom) = 0.01

=====

Computed, not measured: crystalline Y5Ho4Sc4 at its relaxed geometry at the PBE level of DFT.

Geometry as POSCAR:
```
Y5Ho4Sc4
1.0
-6.2425 6.2425 2.4498
6.2425 -6.2425 2.4498
6.2425 6.2425 -2.4498
Y Ho Sc
5 4 4
Direct
0.0000 0.0000 0.0000
0.3066 0.5413 0.8479
0.4587 0.3066 0.7652
0.5413 0.6934 0.2348
0.6934 0.4587 0.1521
0.0776 0.3821 0.4597
0.3821 0.9224 0.3044
0.6179 0.0776 0.6956
0.9224 0.6179 0.5403
0.1562 0.7672 0.9234
0.2328 0.1562 0.3890
0.7672 0.8438 0.6110
0.8438 0.2328 0.0766
```

- crystal system = tetragonal
- total energy (eV/cell) = -75.30
- M_tot (μB per cell) = 0.00
- energy of formation (eV per atom) = 0.05

=====

Computed, not measured: crystalline CsNbW3 at its relaxed geometry at the PBE level of DFT.

Geometry as POSCAR:
```
CsNbW3
1.0
5.0317 0.0000 0.0000
0.0000 5.0317 0.0000
0.0000 0.0000 5.0317
Cs Nb W
1 1 3
Direct
0.0000 0.0000 0.0000
0.5000 0.5000 0.5000
0.0000 0.5000 0.5000
0.5000 0.0000 0.5000
0.5000 0.5000 0.0000
```

- relative energy among the computed polymorphs (meV/atom) = 0
- crystal system = cubic
- total energy (eV/cell) = -36.82
- M_tot (μB per cell) = 2.28
- energy of formation (eV per atom) = 2.59